# K2PtW, optimized geometry, DFT PBE
# Spin magnetization   0.00 μB per formula unit
# Formation energy   1.07 eV per atom
# Total DFT energy (no corrections)   -0.311 Ry per atom
# Relative energy among the computed polymorphs   541 meV/atom
data_K2PtW
_chemical_formula_sum 'K2 Pt1 W1'
_cell_length_a 3.889
_cell_length_b 3.889
_cell_length_c 5.811
_cell_angle_alpha 90.00
_cell_angle_beta 90.00
_cell_angle_gamma 90.00
_symmetry_space_group_name_H-M 'P 4/m m m'
_symmetry_Int_Tables_number 123
_symmetry_space_group_name_Hall '-P 4 2'
loop_
_atom_site_label
_atom_site_type_symbol
_atom_site_fract_x
_atom_site_fract_y
_atom_site_fract_z
K1 K 0.000 0.500 0.000
Pt1 Pt 0.000 0.000 0.500
W1 W 0.500 0.500 0.500

=====

# Er8InS4, optimized geometry, DFT PBE
# Spin magnetization   0.00 μB per formula unit
# Total DFT energy (no corrections)   -0.406 Ry per atom
data_Er8InS4
_chemical_formula_sum 'Er16 In2 S8'
_cell_length_a 18.299
_cell_length_b 3.805
_cell_length_c 12.941
_cell_angle_alpha 90.00
_cell_angle_beta 134.94
_cell_angle_gamma 90.00
_symmetry_space_group_name_H-M 'C 1 2/m 1'
_symmetry_Int_Tables_number 12
_symmetry_space_group_name_Hall '-C 2y'
loop_
_atom_site_label
_atom_site_type_symbol
_atom_site_fract_x
_atom_site_fract_y
_atom_site_fract_z
Er1 Er 0.045 0.000 0.204
Er2 Er 0.128 0.500 0.792
Er3 Er 0.158 0.500 0.113
Er4 Er 0.164 0.500 0.536
In1 In 0.000 0.000 0.500
S1 S 0.158 0.000 0.968
S2 S 0.191 0.500 0.349

=====

# CaTa2Hg, optimized geometry, DFT PBE
# Spin magnetization   0.00 μB per formula unit
# Formation energy   0.77 eV per atom
# Total DFT energy (no corrections)   -0.421 Ry per atom
data_CaTa2Hg
_chemical_formula_sum 'Ca4 Ta8 Hg4'
_cell_length_a 4.042
_cell_length_b 4.042
_cell_length_c 22.219
_cell_angle_alpha 90.00
_cell_angle_beta 90.00
_cell_angle_gamma 90.00
_symmetry_space_group_name_H-M 'I -4 2 d'
_symmetry_Int_Tables_number 122
_symmetry_space_group_name_Hall 'I -4 2bw'
loop_
_atom_site_label
_atom_site_type_symbol
_atom_site_fract_x
_atom_site_fract_y
_atom_site_fract_z
Ca1 Ca 0.000 0.000 0.000
Ta1 Ta 0.240 0.250 0.625
Hg1 Hg 0.000 0.000 0.500

=====

# BWBr3, optimized geometry, DFT PBE
# Spin magnetization   3.82 μB per formula unit
# Total DFT energy (no corrections)   -0.272 Ry per atom
# Relative energy among the computed polymorphs   0 meV/atom
data_BWBr3
_chemical_formula_sum 'B1 W1 Br3'
_cell_length_a 5.229
_cell_length_b 5.229
_cell_length_c 5.229
_cell_angle_alpha 90.00
_cell_angle_beta 90.00
_cell_angle_gamma 90.00
_symmetry_space_group_name_H-M 'P m -3 m'
_symmetry_Int_Tables_number 221
_symmetry_space_group_name_Hall '-P 4 2 3'
loop_
_atom_site_label
_atom_site_type_symbol
_atom_site_fract_x
_atom_site_fract_y
_atom_site_fract_z
B1 B 0.000 0.000 0.000
W1 W 0.500 0.500 0.500
Br1 Br 0.000 0.500 0.500

=====

# Np2PaRuN4, optimized geometry, DFT PBE
# Spin magnetization   5.40 μB per formula unit
# Total DFT energy (no corrections)   -0.785 Ry per atom
data_Np2PaRuN4
_chemical_formula_sum 'Np8 Pa4 Ru4 N16'
_cell_length_a 3.360
_cell_length_b 11.481
_cell_length_c 11.516
_cell_angle_alpha 90.00
_cell_angle_beta 90.00
_cell_angle_gamma 90.00
_symmetry_space_group_name_H-M 'C m c m'
_symmetry_Int_Tables_number 63
_symmetry_space_group_name_Hall '-C 2c 2'
loop_
_atom_site_label
_atom_site_type_symbol
_atom_site_fract_x
_atom_site_fract_y
_atom_site_fract_z
Np1 Np 0.000 0.130 0.056
Pa1 Pa 0.000 0.387 0.250
Ru1 Ru 0.000 0.353 0.750
N1 N 0.000 0.032 0.250
N2 N 0.000 0.219 0.623
N3 N 0.000 0.500 0.000

=====

# HoTaRu2, optimized geometry, DFT PBE
# Spin magnetization   0.00 μB per formula unit
# Formation energy   -0.39 eV per atom
# Total DFT energy (no corrections)   -0.672 Ry per atom
# Relative energy among the computed polymorphs   67 meV/atom
data_HoTaRu2
_chemical_formula_sum 'Ho4 Ta4 Ru8'
_cell_length_a 6.524
_cell_length_b 6.524
_cell_length_c 6.524
_cell_angle_alpha 90.00
_cell_angle_beta 90.00
_cell_angle_gamma 90.00
_symmetry_space_group_name_H-M 'F m -3 m'
_symmetry_Int_Tables_number 225
_symmetry_space_group_name_Hall '-F 4 2 3'
loop_
_atom_site_label
_atom_site_type_symbol
_atom_site_fract_x
_atom_site_fract_y
_atom_site_fract_z
Ho1 Ho 0.000 0.000 0.000
Ta1 Ta 0.000 0.000 0.500
Ru1 Ru 0.250 0.250 0.250

=====

# V2Ir2Au, optimized geometry, DFT PBE
# Spin magnetization   0.00 μB per formula unit
# Formation energy   -0.21 eV per atom
# Total DFT energy (no corrections)   -0.592 Ry per atom
# Relative energy among the computed polymorphs   97 meV/atom
data_V2Ir2Au
_chemical_formula_sum 'V4 Ir4 Au2'
_cell_length_a 7.493
_cell_length_b 7.493
_cell_length_c 2.738
_cell_angle_alpha 90.00
_cell_angle_beta 90.00
_cell_angle_gamma 90.00
_symmetry_space_group_name_H-M 'P 4/m b m'
_symmetry_Int_Tables_number 127
_symmetry_space_group_name_Hall '-P 4 2ab'
loop_
_atom_site_label
_atom_site_type_symbol
_atom_site_fract_x
_atom_site_fract_y
_atom_site_fract_z
V1 V 0.150 0.350 0.000
Ir1 Ir 0.140 0.640 0.500
Au1 Au 0.000 0.000 0.000

=====

# PrGa12Pt4, optimized geometry, DFT PBE
# Spin magnetization   0.00 μB per formula unit
# Formation energy   -0.37 eV per atom
# Total DFT energy (no corrections)   -0.309 Ry per atom
data_PrGa12Pt4
_chemical_formula_sum 'Pr2 Ga24 Pt8'
_cell_length_a 8.846
_cell_length_b 8.846
_cell_length_c 8.846
_cell_angle_alpha 90.00
_cell_angle_beta 90.00
_cell_angle_gamma 90.00
_symmetry_space_group_name_H-M 'I m -3'
_symmetry_Int_Tables_number 204
_symmetry_space_group_name_Hall '-I 2 2 3'
loop_
_atom_site_label
_atom_site_type_symbol
_atom_site_fract_x
_atom_site_fract_y
_atom_site_fract_z
Pr1 Pr 0.000 0.000 0.000
Ga1 Ga 0.000 0.348 0.155
Pt1 Pt 0.250 0.250 0.250

=====

# TbEuTm, optimized geometry, DFT PBE
# Spin magnetization   7.29 μB per formula unit
# Formation energy   0.06 eV per atom
# Total DFT energy (no corrections)   -0.470 Ry per atom
data_TbEuTm
_chemical_formula_sum 'Tb1 Eu1 Tm1'
_cell_length_a 3.6187
_cell_length_b 3.6187
_cell_length_c 8.8724
_cell_angle_alpha 90.00
_cell_angle_beta 90.00
_cell_angle_gamma 120.00
_symmetry_space_group_name_H-M 'P 3 m 1'
_symmetry_Int_Tables_number 156
_symmetry_space_group_name_Hall 'P 3 -2"'
loop_
_atom_site_label
_atom_site_type_symbol
_atom_site_fract_x
_atom_site_fract_y
_atom_site_fract_z
Tb1 Tb 0.0000 0.0000 0.0000
Eu1 Eu 0.3333 0.6667 0.6510
Tm1 Tm 0.6667 0.3333 0.3092

=====

# Na2HoTiSe4, optimized geometry, DFT PBE
# Spin magnetization   1.00 μB per formula unit
# Total DFT energy (no corrections)   -0.370 Ry per atom
data_Na2HoTiSe4
_chemical_formula_sum 'Na2 Ho1 Ti1 Se4'
_cell_length_a 6.866
_cell_length_b 3.949
_cell_length_c 7.377
_cell_angle_alpha 90.00
_cell_angle_beta 108.05
_cell_angle_gamma 90.00
_symmetry_space_group_name_H-M 'P 1 2/m 1'
_symmetry_Int_Tables_number 10
_symmetry_space_group_name_Hall '-P 2y'
loop_
_atom_site_label
_atom_site_type_symbol
_atom_site_fract_x
_atom_site_fract_y
_atom_site_fract_z
Na1 Na 0.000 0.000 0.000
Na2 Na 0.500 0.500 0.000
Ho1 Ho 0.000 0.500 0.500
Ti1 Ti 0.500 0.000 0.500
Se1 Se 0.259 0.000 0.725
Se2 Se 0.278 0.500 0.285

=====

# MnZnGa4Se8, optimized geometry, DFT PBE
# Spin magnetization   5.00 μB per formula unit
# Total DFT energy (no corrections)   -0.309 Ry per atom
data_MnZnGa4Se8
_chemical_formula_sum 'Mn1 Zn1 Ga4 Se8'
_cell_length_a 5.667
_cell_length_b 5.667
_cell_length_c 11.045
_cell_angle_alpha 90.00
_cell_angle_beta 90.00
_cell_angle_gamma 90.00
_symmetry_space_group_name_H-M 'P -4'
_symmetry_Int_Tables_number 81
_symmetry_space_group_name_Hall 'P -4'
loop_
_atom_site_label
_atom_site_type_symbol
_atom_site_fract_x
_atom_site_fract_y
_atom_site_fract_z
Mn1 Mn 0.000 0.000 0.000
Zn1 Zn 0.500 0.500 0.500
Ga1 Ga 0.000 0.000 0.500
Ga2 Ga 0.000 0.500 0.252
Ga3 Ga 0.500 0.500 0.000
Se1 Se 0.235 0.257 0.632
Se2 Se 0.246 0.734 0.866

=====

# HPtAuN2, optimized geometry, DFT PBE
# Spin magnetization   0.00 μB per formula unit
# Total DFT energy (no corrections)   -0.296 Ry per atom
data_HPtAuN2
_chemical_formula_sum 'H1 Pt1 Au1 N2'
_cell_length_a 4.023
_cell_length_b 4.023
_cell_length_c 3.263
_cell_angle_alpha 90.00
_cell_angle_beta 90.00
_cell_angle_gamma 90.00
_symmetry_space_group_name_H-M 'P 4/m m m'
_symmetry_Int_Tables_number 123
_symmetry_space_group_name_Hall '-P 4 2'
loop_
_atom_site_label
_atom_site_type_symbol
_atom_site_fract_x
_atom_site_fract_y
_atom_site_fract_z
H1 H 0.000 0.000 0.000
Pt1 Pt 0.000 0.000 0.500
Au1 Au 0.500 0.500 0.500
N1 N 0.000 0.500 0.000